{
  "formula": "NiPF",
  "functional": "GGA+U",
  "state": "relaxed",
  "e_tot_ev_per_atom": -3.960,
  "sg": "No. 57",
  "magmom_total_mub_per_cell": 0.00,
  "lattice": [[4.170, 0.000, 0.000], [0.000, 4.174, 0.000], [0.000, 0.000, 8.738]],
  "species": ["Ni", "Ni", "Ni", "Ni", "F", "F", "F", "F", "P", "P", "P", "P"],
  "fractional_positions": [[0.076, 0.439, 0.107], [0.576, 0.061, 0.107], [0.576, 0.561, 0.893], [0.076, 0.939, 0.893], [0.077, 0.470, 0.629], [0.577, 0.530, 0.371], [0.077, 0.970, 0.371], [0.577, 0.030, 0.629], [0.076, 0.941, 0.188], [0.076, 0.441, 0.812], [0.576, 0.559, 0.188], [0.576, 0.059, 0.812]]
}